VASP calculation (PBE) on crystalline LiTlSi4 at its relaxed geometry.

Values from the calculation:
**Total magnetization**: 0.0 Bohr magnetons per cell
**Raw total energy**: -0.29649 Ry per atom
**E_form (uncorrected)**: 0.295 eV/atom

Cell lengths 5.342, 5.342, 5.342 Å; angles 60.00, 60.00, 60.00 degrees
Fractional coordinates of all 6 atoms:
Li 0.000 0.000 0.000
Tl 0.750 0.750 0.750
Si 0.883 0.372 0.372
Si 0.372 0.372 0.883
Si 0.372 0.883 0.372
Si 0.372 0.372 0.372

VASP calculation (PBE) on crystalline Be2V2Fe3 at its relaxed geometry.

Values from the calculation:
**Total magnetization**: 1.8 Bohr magnetons per cell
**Raw total energy**: -0.54276 Ry per atom
**Energy relative to the elements**: -0.088 eV/atom

Cell lengths 3.068, 2.718, 8.895 Å; angles 90.00, 80.07, 90.00 degrees
Fractional coordinates of all 7 atoms:
Be 0.716 0.500 0.569
Be 0.284 0.500 0.431
V 0.581 0.500 0.838
V 0.419 0.500 0.162
Fe 0.834 0.000 0.333
Fe 0.000 0.000 0.000
Fe 0.166 0.000 0.667

VASP calculation (PBE) on crystalline PaNiGe2 at its relaxed geometry.

Values from the calculation:
**Total magnetization**: 0.0 Bohr magnetons per cell
**Raw total energy**: -0.46186 Ry per atom
**Energy relative to the elements**: -0.156 eV/atom

Cell lengths 3.094, 3.094, 7.187 Å; angles 90.00, 90.00, 90.00 degrees
Fractional coordinates of all 4 atoms:
Ni 0.500 0.500 0.000
Ge 0.000 0.000 0.803
Ge 0.000 0.000 0.197
Pa 0.500 0.500 0.500

VASP calculation (PBE) on crystalline TaFeSeN2 at its relaxed geometry.

Values from the calculation:
**Total magnetization**: 4.4 Bohr magnetons per cell
**Raw total energy**: -0.56416 Ry per atom
**E_form (uncorrected)**: 0.414 eV/atom
**Excess energy over the best structure of this formula in the dataset**: 0.00 eV per formula unit

Cell lengths 3.966, 3.966, 5.419 Å; angles 90.00, 90.00, 90.00 degrees
Fractional coordinates of all 5 atoms:
N 0.000 0.500 0.000
N 0.500 0.000 0.000
Fe 0.500 0.500 0.500
Se 0.000 0.000 0.500
Ta 0.000 0.000 0.000

VASP calculation (PBE) on crystalline PtPb2 at its relaxed geometry.

Values from the calculation:
**Total magnetization**: 0.0 Bohr magnetons per cell
**Raw total energy**: -0.33581 Ry per atom
**Energy relative to the elements**: -0.083 eV/atom

Cell lengths 3.772, 3.772, 13.075 Å; angles 90.00, 90.00, 120.00 degrees
Fractional coordinates of all 6 atoms:
Pt 0.000 0.000 0.250
Pt 0.000 0.000 0.750
Pb 0.333 0.667 0.110
Pb 0.333 0.667 0.390
Pb 0.667 0.333 0.610
Pb 0.667 0.333 0.890

VASP calculation (PBE) on crystalline TbCu11Ni at its relaxed geometry.

Values from the calculation:
**Total magnetization**: 0.0 Bohr magnetons per cell
**Raw total energy**: -0.32053 Ry per atom
**Energy relative to the elements**: -0.094 eV/atom

Cell lengths 4.825, 6.466, 6.480 Å; angles 81.60, 68.14, 66.89 degrees
Fractional coordinates of all 13 atoms:
Tb 0.000 0.000 0.000
Cu 0.277 0.223 0.222
Cu 0.723 0.777 0.778
Cu 0.501 0.777 0.222
Cu 0.499 0.223 0.778
Cu 0.365 0.643 0.648
Cu 0.635 0.357 0.352
Cu 0.987 0.357 0.648
Cu 0.013 0.643 0.352
Cu 0.000 0.500 0.000
Cu 0.500 0.000 0.500
Cu 0.000 0.000 0.500
Ni 0.500 0.500 0.000